Compound: Fe2Ni2Mo
Source: Alexandria
Functional: GGA-PBE
Structure: optimized geometry

a = 6.953 Å, b = 6.953 Å, c = 2.545 Å
α = 90.00°, β = 90.00°, γ = 90.00°
Fractional positions:
Fe 0.172 0.328 0.000
Fe 0.328 0.828 0.000
Fe 0.672 0.172 0.000
Fe 0.828 0.672 0.000
Ni 0.124 0.624 0.500
Ni 0.376 0.124 0.500
Ni 0.624 0.876 0.500
Ni 0.876 0.376 0.500
Mo 0.000 0.000 0.500
Mo 0.500 0.500 0.500

Summary:
calculated formation energy	126	meV/atom
DOS(E_F)	0.996	states/eV/atom
polymorph energy (0 for the lowest one)	0	meV/atom
total moment	5.64	μB per formula unit